Compound: Sr2ScAl
Source: the Alexandria database
Functional: PBE-GGA
Structure: optimized geometry

Computed properties:
**Total magnetic moment**: 1.37 μB per formula unit
**E_form**: 0.172 eV/atom
**D(E_F)**: 1.14 states/eV/atom

Lattice parameters (Å, degrees): 3.717 3.717 9.735 90.00 90.00 90.03
Element x y z (fractional)
Sc 0.500 0.500 0.750
Sr 0.000 0.000 0.028
Sr 0.000 0.000 0.472
Al 0.500 0.500 0.250

***

Compound: MgRe2Pt
Source: the Alexandria database
Functional: PBE-GGA
Structure: optimized geometry

Computed properties:
**Total magnetic moment**: 0.00 μB per formula unit
**E_form**: 0.219 eV/atom
**D(E_F)**: 1.25 states/eV/atom

Lattice parameters (Å, degrees): 9.452 9.452 9.452 16.97 16.97 16.97
Element x y z (fractional)
Mg 0.250 0.250 0.250
Pt 0.750 0.750 0.750
Re 0.003 0.003 0.003
Re 0.497 0.497 0.497

***

Compound: BaReSi3
Source: the Alexandria database
Functional: PBE-GGA
Structure: optimized geometry

Computed properties:
**Energy relative to the elements, uncorrected**: 0.04 eV per atom
**Energy above the most stable polymorph in this dataset**: 0.00 kcal/mol of atoms
**Total magnetic moment**: 0.00 μB per formula unit
**D(E_F)**: 0.59 states/eV/atom

Lattice parameters (Å, degrees): 4.798 4.798 4.798 90.00 90.00 90.00
Element x y z (fractional)
Re 0.000 0.000 0.000
Si 0.000 0.500 0.000
Si 0.000 0.000 0.500
Si 0.500 0.000 0.000
Ba 0.500 0.500 0.500

***

Compound: Li3Ag2Ge3
Source: the Alexandria database
Functional: PBE-GGA
Structure: optimized geometry

Computed properties:
**Energy above the most stable polymorph in this dataset**: 0.76 kcal/mol of atoms
**Total magnetic moment**: 0.00 μB per formula unit
**E_form**: -0.138 eV/atom
**D(E_F)**: 0.56 states/eV/atom

Lattice parameters (Å, degrees): 6.435 6.435 6.435 90.00 90.00 90.00
Element x y z (fractional)
Li 0.000 0.000 0.000
Li 0.500 0.500 0.500
Li 0.750 0.250 0.250
Li 0.250 0.250 0.750
Li 0.250 0.750 0.250
Li 0.750 0.750 0.750
Ag 0.750 0.250 0.750
Ag 0.250 0.250 0.250
Ag 0.750 0.750 0.250
Ag 0.250 0.750 0.750
Ge 0.000 0.500 0.500
Ge 0.000 0.500 0.000
Ge 0.000 0.000 0.500
Ge 0.500 0.500 0.000
Ge 0.500 0.000 0.000
Ge 0.500 0.000 0.500

***

Compound: RbBTePt2
Source: the Alexandria database
Functional: PBE-GGA
Structure: optimized geometry

Computed properties:
**Energy relative to the elements, uncorrected**: 0.27 eV per atom
**Total magnetic moment**: 0.00 μB per formula unit
**D(E_F)**: 0.39 states/eV/atom

Lattice parameters (Å, degrees): 4.415 4.415 5.263 90.00 90.00 90.00
Element x y z (fractional)
B 0.000 0.000 0.000
Te 0.000 0.000 0.500
Rb 0.500 0.500 0.500
Pt 0.000 0.500 0.000
Pt 0.500 0.000 0.000

***

Compound: LaAlIn
Source: the Alexandria database
Functional: PBE-GGA
Structure: optimized geometry

Computed properties:
**Total magnetic moment**: 0.00 μB per formula unit
**E_form**: -0.465 eV/atom
**D(E_F)**: 0.55 states/eV/atom

Lattice parameters (Å, degrees): 4.821 4.821 3.909 90.00 90.00 120.00
Element x y z (fractional)
In 0.667 0.333 0.168
Al 0.000 0.000 0.165
La 0.333 0.667 0.667

***

Compound: CsRb2Ta
Source: the Alexandria database
Functional: PBE-GGA
Structure: optimized geometry

Computed properties:
**Total magnetic moment**: 5.67 μB per formula unit
**E_form**: 1.441 eV/atom
**D(E_F)**: 1.13 states/eV/atom

Lattice parameters (Å, degrees): 6.696 6.696 6.696 60.00 60.00 60.00
Element x y z (fractional)
Cs 0.000 0.000 0.000
Rb 0.250 0.250 0.250
Rb 0.750 0.750 0.750
Ta 0.500 0.500 0.500

***

Compound: Fe3BPt
Source: the Alexandria database
Functional: PBE-GGA
Structure: optimized geometry

Computed properties:
**Energy above the most stable polymorph in this dataset**: 0.00 kcal/mol of atoms
**Total magnetic moment**: 0.00 μB per formula unit
**E_form**: 0.196 eV/atom
**D(E_F)**: 1.52 states/eV/atom

Lattice parameters (Å, degrees): 3.800 3.800 3.800 90.00 90.00 90.00
Element x y z (fractional)
B 0.000 0.000 0.000
Fe 0.000 0.500 0.000
Fe 0.000 0.000 0.500
Fe 0.500 0.000 0.000
Pt 0.500 0.500 0.500

***

Compound: PmInIrRu
Source: the Alexandria database
Functional: PBE-GGA
Structure: optimized geometry

Computed properties:
**Total magnetic moment**: 0.00 μB per formula unit
**E_form**: -0.207 eV/atom
**D(E_F)**: 1.03 states/eV/atom

Lattice parameters (Å, degrees): 4.764 4.764 4.764 60.00 60.00 60.00
Element x y z (fractional)
Ru 0.750 0.750 0.750
Ir 0.250 0.250 0.250
In 0.500 0.500 0.500
Pm 0.000 0.000 0.000

***

Compound: Fe3CoRh
Source: the Alexandria database
Functional: PBE-GGA
Structure: optimized geometry

Computed properties:
**Energy above the most stable polymorph in this dataset**: 0.00 kcal/mol of atoms
**Total magnetic moment**: 10.75 μB per formula unit
**E_form**: -0.005 eV/atom
**D(E_F)**: 0.73 states/eV/atom

Lattice parameters (Å, degrees): 4.089 7.173 8.738 105.64 90.00 90.00
Element x y z (fractional)
Fe 0.000 0.952 0.351
Fe 0.000 0.048 0.649
Fe 0.500 0.048 0.149
Fe 0.500 0.952 0.851
Fe 0.000 0.236 0.243
Fe 0.000 0.764 0.757
Fe 0.500 0.764 0.257
Fe 0.500 0.236 0.743
Fe 0.500 0.662 0.963
Fe 0.500 0.338 0.037
Fe 0.000 0.338 0.537
Fe 0.000 0.662 0.463
Co 0.000 0.144 0.950
Co 0.000 0.856 0.050
Co 0.500 0.856 0.550
Co 0.500 0.144 0.450
Rh 0.500 0.447 0.342
Rh 0.500 0.553 0.658
Rh 0.000 0.553 0.158
Rh 0.000 0.447 0.842

***

Compound: LiErIr2
Source: the Alexandria database
Functional: PBE-GGA
Structure: optimized geometry

Computed properties:
**Total magnetic moment**: 0.00 μB per formula unit
**E_form**: -0.416 eV/atom
**D(E_F)**: 0.72 states/eV/atom

Lattice parameters (Å, degrees): 4.049 4.023 4.023 90.00 90.00 90.00
Element x y z (fractional)
Ir 0.000 0.000 0.500
Ir 0.000 0.500 0.000
Li 0.500 0.500 0.500
Er 0.500 0.000 0.000

***

Compound: CsSrAs
Source: the Alexandria database
Functional: PBE-GGA
Structure: optimized geometry

Computed properties:
**Total magnetic moment**: 0.00 μB per formula unit
**E_form**: -0.780 eV/atom
**D(E_F)**: 0.00 states/eV/atom

Lattice parameters (Å, degrees): 5.605 5.610 8.170 89.97 89.95 89.99
Element x y z (fractional)
Cs 0.750 0.750 0.001
Cs 0.250 0.250 0.999
Sr 0.250 0.250 0.500
Sr 0.750 0.750 0.500
As 0.750 0.250 0.688
As 0.250 0.750 0.312